V2Co2F | PBE+U | relaxed

Calculated values
Volume   156.7 Å³/cell
Final energy   -22.4 eV/f.u.
Crystal system   tetragonal

```
data_V2Co2F
_symmetry_space_group_name_H-M 'I 4/m m m'
_symmetry_Int_Tables_number 139
_symmetry_space_group_name_Hall '-I 4 2'
_cell_length_a 5.009
_cell_length_b 5.009
_cell_length_c 6.247
_cell_angle_alpha 90.00
_cell_angle_beta 90.00
_cell_angle_gamma 90.00
loop_
_atom_site_label
_atom_site_type_symbol
_atom_site_fract_x
_atom_site_fract_y
_atom_site_fract_z
V1 V 0.000 0.500 0.250
Co1 Co 0.000 0.000 0.168
F1 F 0.000 0.000 0.500
```